(1)
PBE Rb2CdTeO4, relaxed; V = 173.8 Å³/cell; total magnetic moment = 0.0 μB per cell; DFT total energy = -4.407 eV/atom; uncorrected formation energy = -1.1785 eV per atom; space group = No. 82
1.0
-3.162 3.162 4.346
3.162 -3.162 4.346
3.162 3.162 -4.346
Rb Cd Te O
2 1 1 4
direct
0.000 0.000 0.000
0.750 0.250 0.500
0.500 0.500 0.000
0.250 0.750 0.500
0.219 0.634 0.116
0.366 0.481 0.585
0.519 0.103 0.884
0.897 0.781 0.415

---

(2)
PBE ZrZn2Cu9, relaxed; V = 164.0 Å³/cell; total magnetic moment = 0.0 μB per cell; DFT total energy = -4.016 eV/atom; space group = No. 166
1.0
2.457 1.419 7.843
-2.457 1.419 7.843
0.000 -2.837 7.843
Zr Zn Cu
1 2 9
direct
0.000 0.000 0.000
0.143 0.143 0.143
0.857 0.857 0.857
0.081 0.588 0.588
0.334 0.334 0.334
0.412 0.412 0.919
0.412 0.919 0.412
0.500 0.500 0.500
0.588 0.081 0.588
0.588 0.588 0.081
0.666 0.666 0.666
0.919 0.412 0.412

---

(3)
PBE BaTbUN3, relaxed; V = 225.8 Å³/cell; total magnetic moment = 2.6 μB per cell; DFT total energy = -8.153 eV/atom; uncorrected formation energy = -1.0172 eV per atom; space group = No. 11
1.0
6.791 0.000 0.000
0.000 3.520 0.000
-3.060 0.000 9.446
Ba Tb U N
2 2 2 6
direct
0.016 0.250 0.284
0.984 0.750 0.716
0.446 0.250 0.627
0.554 0.750 0.373
0.384 0.250 0.065
0.616 0.750 0.935
0.247 0.750 0.138
0.297 0.750 0.495
0.324 0.250 0.840
0.676 0.750 0.160
0.703 0.250 0.505
0.753 0.250 0.862

---

> Which of these has the lowest DFT total energy?

BaTbUN3